No. 1
Here is an optimized crystal structure of MnTe2Br from the Alexandria database. Energies are from PBE-GGA.

```
data_MnTe2Br
_space_group_name_H-M_alt 'C m m m'
_space_group_IT_number 65
_space_group_name_Hall '-C 2 2'
_cell_length_a 5.7897
_cell_length_b 11.0361
_cell_length_c 3.4085
_cell_angle_alpha 90.00
_cell_angle_beta 90.00
_cell_angle_gamma 90.00
loop_
_atom_site_label
_atom_site_fract_x
_atom_site_fract_y
_atom_site_fract_z
Mn1 0.0000 0.0000 0.0000
Te1 0.2500 0.2500 0.5000
Br1 0.0000 0.5000 0.0000
```

## Properties
Energy above the most stable polymorph in this dataset   14.28 kcal/mol of atoms
Uncorrected formation energy   0.374 eV/atom
DOS(E_F)   5.56 states/eV per cell
DFT total energy   -31.26 eV/cell



No. 2
Here is an optimized crystal structure of Mn2TeBr from the Alexandria database. Energies are from PBE-GGA.

```
data_Mn2TeBr
_space_group_name_H-M_alt 'I -4 m 2'
_space_group_IT_number 119
_space_group_name_Hall 'I -4 -2'
_cell_length_a 3.8614
_cell_length_b 3.8614
_cell_length_c 13.4329
_cell_angle_alpha 90.00
_cell_angle_beta 90.00
_cell_angle_gamma 90.00
loop_
_atom_site_label
_atom_site_fract_x
_atom_site_fract_y
_atom_site_fract_z
Mn1 0.0000 0.0000 0.0000
Mn2 0.0000 0.5000 0.2500
Te1 0.0000 0.5000 0.7500
Br1 0.0000 0.0000 0.5000
```

## Properties
Energy above the most stable polymorph in this dataset   7.24 kcal/mol of atoms
Uncorrected formation energy   0.249 eV/atom
DOS(E_F)   8.13 states/eV per cell
DFT total energy   -44.31 eV/cell